# 1
First-principles (PBE) data for an optimized crystal structure of Al2InHg, as listed in the Alexandria database.

```
Al2InHg
1.0
-2.082 2.082 4.957
2.082 -2.082 4.957
2.082 2.082 -4.957
Al In Hg
2 1 1
Direct
0.000 0.000 0.000 Al
0.750 0.250 0.500 Al
0.500 0.500 0.000 In
0.250 0.750 0.500 Hg
```

## Properties
The space group is No. 119.



# 2
First-principles (PBE) data for an optimized crystal structure of AlInHg, as listed in the Alexandria database.

```
AlInHg
1.0
3.106 0.000 0.000
1.096 5.100 0.000
1.003 2.168 9.049
Al In Hg
2 2 2
Direct
0.227 0.442 0.129 Al
0.773 0.558 0.871 Al
0.303 0.727 0.578 In
0.697 0.273 0.422 In
0.454 0.106 0.819 Hg
0.546 0.894 0.181 Hg
```

## Properties
The space group is No. 2.



# 3
First-principles (PBE) data for an optimized crystal structure of AlInHg2, as listed in the Alexandria database.

```
AlInHg2
1.0
1.764 1.019 8.699
-1.764 1.019 8.699
0.000 -2.037 8.699
Al In Hg
1 1 2
Direct
0.000 0.000 0.000 Al
0.500 0.500 0.500 In
0.258 0.258 0.258 Hg
0.742 0.742 0.742 Hg
```

## Properties
As for the energy above the most stable polymorph in this dataset: 0.000 eV/atom. The space group is No. 166.



# 4
First-principles (PBE) data for an optimized crystal structure of AlInHg, as listed in the Alexandria database.

```
AlInHg
1.0
4.321 0.000 0.000
1.826 4.608 0.000
2.091 0.929 7.159
Al In Hg
2 2 2
Direct
0.151 0.082 0.110 Al
0.849 0.918 0.890 Al
0.251 0.356 0.679 In
0.749 0.644 0.321 In
0.000 0.000 0.500 Hg
0.500 0.500 0.000 Hg
```

## Properties
The space group is No. 2.



# 5
First-principles (PBE) data for an optimized crystal structure of AlInHg2, as listed in the Alexandria database.

```
AlInHg2
1.0
-2.306 2.306 4.466
2.306 -2.306 4.466
2.306 2.306 -4.466
Al In Hg
1 1 2
Direct
0.000 0.000 0.000 Al
0.500 0.500 0.000 In
0.250 0.750 0.500 Hg
0.750 0.250 0.500 Hg
```

## Properties
As for the energy above the most stable polymorph in this dataset: 0.082 eV/atom. The space group is No. 139.



# 6
First-principles (PBE) data for an optimized crystal structure of AlIn4Hg3, as listed in the Alexandria database.

```
AlIn4Hg3
1.0
-5.759 6.504 2.758
5.759 -6.504 2.758
5.759 6.504 -2.758
Al In Hg
2 8 6
Direct
0.250 0.250 0.000 Al
0.750 0.750 0.000 Al
0.072 0.239 0.311 In
0.193 0.631 0.824 In
0.307 0.131 0.437 In
0.428 0.739 0.167 In
0.572 0.261 0.833 In
0.693 0.869 0.563 In
0.807 0.369 0.176 In
0.928 0.761 0.689 In
0.182 0.899 0.081 Hg
0.250 0.750 0.500 Hg
0.318 0.399 0.717 Hg
0.682 0.601 0.283 Hg
0.750 0.250 0.500 Hg
0.818 0.101 0.919 Hg
```

## Properties
The space group is No. 72.



| no. | spin magnetization (μB/atom) | energy (eV/cell) | theoretical density (g/cm³) |
| --- | --- | --- | --- |
| 1 | 0.000 | -9.74 | 7.1 |
| 2 | 0.000 | -12.93 | 7.9 |
| 3 | 0.000 | -6.79 | 9.6 |
| 4 | 0.000 | -12.95 | 8.0 |
| 5 | 0.000 | -6.46 | 9.5 |
| 6 | 0.000 | -30.15 | 8.7 |